Below is a relaxed structure of PmSmDyHo3, with properties calculated at the GGA-PBE level.

Cell lengths 19.7088, 5.6295, 7.0311 Å; angles 90.00, 90.16, 90.00 degrees
Space group C2/m (No. 12)
Asymmetric unit:
1 Pm 0.1468 0.0000 0.0320 [4 per cell]
2 Sm 0.0537 0.5000 0.2585 [4 per cell]
3 Dy 0.1492 0.0000 0.4601 [4 per cell]
4 Ho 0.0228 0.0000 0.7436 [4 per cell]
5 Ho 0.1657 0.5000 0.7393 [4 per cell]
6 Ho 0.2203 0.5000 0.2471 [4 per cell]

Calculated values
total moment: 0.000 μB per formula unit
theoretical density: 8.1 g cm⁻³
DFT total energy: -106.51 eV/cell
formation energy from the elements: 196 meV/atom